Density functional theory data (PBE-GGA) for CsRb2Ag after structural relaxation.

Lattice parameters (Å, degrees): 5.2524 5.2524 37.9989 90.00 90.00 120.00
Space group R3m (No. 160, hexagonal axes)
Asymmetric unit:
1 Cs 0.0000 0.0000 0.0000 [3 per cell]
2 Rb 0.0000 0.0000 0.5514 [3 per cell]
3 Rb 0.0000 0.0000 0.7804 [3 per cell]
4 Ag 0.0000 0.0000 0.1656 [3 per cell]

Computed properties:
Distance to the lowest polymorph of the same formula = 28 meV per atom
Formation energy = 0.07 eV/atom



Density functional theory data (PBE-GGA) for AgBi2SbPt after structural relaxation.

Lattice parameters (Å, degrees): 5.374 5.374 5.154 90.00 90.00 90.00
Space group P4/mmm (No. 123)
Asymmetric unit:
1 Ag 0.000 0.000 0.000 [1 per cell]
2 Bi 0.000 0.500 0.500 [2 per cell]
3 Sb 0.500 0.500 0.000 [1 per cell]
4 Pt 0.000 0.000 0.500 [1 per cell]

Computed properties:
ΔE_f (raw) = 0.333 eV/atom



Density functional theory data (PBE-GGA) for ErTmCu2 after structural relaxation.

Lattice parameters (Å, degrees): 4.853 4.853 3.414 90.00 90.00 90.00
Space group P4/mmm (No. 123)
Asymmetric unit:
1 Er 0.000 0.000 0.000 [1 per cell]
2 Tm 0.500 0.500 0.000 [1 per cell]
3 Cu 0.000 0.500 0.500 [2 per cell]

Computed properties:
Formation energy = -0.29 eV/atom



Density functional theory data (PBE-GGA) for Np2GaAgO8 after structural relaxation.

Lattice parameters (Å, degrees): 5.7427 5.7427 5.9570 90.00 90.00 120.00
Space group P-3 (No. 147)
Asymmetric unit:
1 Np 0.3333 0.6667 0.0918 [2 per cell]
2 Ga 0.0000 0.0000 0.0000 [1 per cell]
3 Ag 0.0000 0.0000 0.5000 [1 per cell]
4 O 0.0596 0.7151 0.8497 [6 per cell]
5 O 0.3333 0.6667 0.4001 [2 per cell]

Computed properties:
ΔE_f (raw) = -1.852 eV/atom



Density functional theory data (PBE-GGA) for FeRh2Cl after structural relaxation.

Lattice parameters (Å, degrees): 8.455 2.819 6.373 90.00 91.36 90.00
Space group Cm (No. 8)
Asymmetric unit:
1 Fe 0.000 0.000 0.000 [2 per cell]
2 Rh 0.054 0.500 0.337 [2 per cell]
3 Rh 0.277 0.000 0.183 [2 per cell]
4 Cl 0.011 0.500 0.710 [2 per cell]

Computed properties:
ΔE_f (raw) = 0.280 eV/atom



Density functional theory data (PBE-GGA) for K2VAgI6 after structural relaxation.

Lattice parameters (Å, degrees): 8.2649 8.2649 21.4410 90.00 90.00 120.00
Space group R3 (No. 146, hexagonal axes)
Asymmetric unit:
1 K 0.0000 0.0000 0.0000 [3 per cell]
2 K 0.0000 0.0000 0.4848 [3 per cell]
3 V 0.0000 0.0000 0.7790 [3 per cell]
4 Ag 0.0000 0.0000 0.1899 [3 per cell]
5 I 0.0390 0.6117 0.5314 [9 per cell]
6 I 0.0955 0.3639 0.3764 [9 per cell]

Computed properties:
ΔE_f (raw) = -0.774 eV/atom



| no. | D(E_F) (states/eV/atom) |
| --- | --- |
| 1 | 0.896 |
| 2 | 0.722 |
| 3 | 0.549 |
| 4 | 0.884 |
| 5 | 1.122 |
| 6 | 1.034 |